# PBE Mg4Ir3, optimized geometry
data_Mg4Ir3
_chemical_formula_sum 'Mg4 Ir3'
_space_group_name_H-M_alt 'P 1'
_space_group_IT_number 1
_cell_length_a 5.270
_cell_length_b 5.270
_cell_length_c 5.078
_cell_angle_alpha 90.00
_cell_angle_beta 90.00
_cell_angle_gamma 120.00
loop_
_space_group_symop_operation_xyz
'x,y,z'
loop_
_atom_site_label
_atom_site_fract_x
_atom_site_fract_y
_atom_site_fract_z
Mg1 0.000 0.000 0.243
Mg2 0.000 0.000 0.757
Mg3 0.333 0.667 0.500
Mg4 0.667 0.333 0.500
Ir1 0.000 0.500 0.000
Ir2 0.500 0.000 0.000
Ir3 0.500 0.500 0.000
# energy of formation from the pure elements	-1.02	eV/f.u.
# N(E_F)	7.4	states/eV per cell
# size of the total moment	0.07	μB per atom
# energy above the lowest structure with this stoichiometry	7	meV/atom



# PBE IrPt4, optimized geometry
data_IrPt4
_chemical_formula_sum 'Ir1 Pt4'
_space_group_name_H-M_alt 'P 1'
_space_group_IT_number 1
_cell_length_a 4.846
_cell_length_b 4.846
_cell_length_c 4.846
_cell_angle_alpha 99.49
_cell_angle_beta 99.49
_cell_angle_gamma 132.09
loop_
_space_group_symop_operation_xyz
'x,y,z'
loop_
_atom_site_label
_atom_site_fract_x
_atom_site_fract_y
_atom_site_fract_z
Ir1 0.000 0.000 0.000
Pt1 0.202 0.601 0.803
Pt2 0.399 0.202 0.602
Pt3 0.601 0.798 0.398
Pt4 0.798 0.399 0.197
# energy of formation from the pure elements	0.17	eV/f.u.
# N(E_F)	8.6	states/eV per cell
# size of the total moment	0.00	μB per atom
# energy above the lowest structure with this stoichiometry	13	meV/atom



# PBE LiAcNd, optimized geometry
data_LiAcNd
_chemical_formula_sum 'Li2 Ac2 Nd2'
_space_group_name_H-M_alt 'P 1'
_space_group_IT_number 1
_cell_length_a 6.542
_cell_length_b 6.542
_cell_length_c 5.251
_cell_angle_alpha 90.00
_cell_angle_beta 90.00
_cell_angle_gamma 95.15
loop_
_space_group_symop_operation_xyz
'x,y,z'
loop_
_atom_site_label
_atom_site_fract_x
_atom_site_fract_y
_atom_site_fract_z
Li1 0.000 0.000 0.000
Li2 0.500 0.500 0.500
Ac1 0.191 0.809 0.500
Ac2 0.809 0.191 0.500
Nd1 0.321 0.321 0.000
Nd2 0.679 0.679 0.000
# energy of formation from the pure elements	1.48	eV/f.u.
# N(E_F)	10.6	states/eV per cell
# size of the total moment	0.00	μB per atom
# energy above the lowest structure with this stoichiometry	453	meV/atom



# PBE Zn2Ni3H3, optimized geometry
data_Zn2Ni3H3
_chemical_formula_sum 'Zn4 Ni6 H6'
_space_group_name_H-M_alt 'P 1'
_space_group_IT_number 1
_cell_length_a 4.808
_cell_length_b 4.808
_cell_length_c 8.217
_cell_angle_alpha 90.00
_cell_angle_beta 90.00
_cell_angle_gamma 120.00
loop_
_space_group_symop_operation_xyz
'x,y,z'
loop_
_atom_site_label
_atom_site_fract_x
_atom_site_fract_y
_atom_site_fract_z
Zn1 0.333 0.667 0.000
Zn2 0.333 0.667 0.500
Zn3 0.667 0.333 0.000
Zn4 0.667 0.333 0.500
Ni1 0.000 0.393 0.250
Ni2 0.000 0.607 0.750
Ni3 0.393 0.000 0.250
Ni4 0.393 0.393 0.750
Ni5 0.607 0.000 0.750
Ni6 0.607 0.607 0.250
H1 0.000 0.266 0.750
H2 0.000 0.734 0.250
H3 0.266 0.000 0.750
H4 0.266 0.266 0.250
H5 0.734 0.000 0.250
H6 0.734 0.734 0.750
# N(E_F)	3.1	states/eV per cell
# size of the total moment	0.00	μB per atom
# total energy	-3.77	eV per atom



# PBE Ac3Si2Ir2, optimized geometry
data_Ac3Si2Ir2
_chemical_formula_sum 'Ac3 Si2 Ir2'
_space_group_name_H-M_alt 'P 1'
_space_group_IT_number 1
_cell_length_a 9.808
_cell_length_b 9.808
_cell_length_c 9.808
_cell_angle_alpha 155.36
_cell_angle_beta 152.85
_cell_angle_gamma 36.99
loop_
_space_group_symop_operation_xyz
'x,y,z'
loop_
_atom_site_label
_atom_site_fract_x
_atom_site_fract_y
_atom_site_fract_z
Ac1 0.000 0.000 0.000
Ac2 0.184 0.684 0.500
Ac3 0.816 0.316 0.500
Si1 0.434 0.434 0.000
Si2 0.566 0.566 0.000
Ir1 0.365 0.865 0.500
Ir2 0.635 0.135 0.500
# N(E_F)	5.4	states/eV per cell
# size of the total moment	0.00	μB per atom
# total energy	-6.57	eV per atom



# PBE MgIn3Ru, optimized geometry
data_MgIn3Ru
_chemical_formula_sum 'Mg1 In3 Ru1'
_space_group_name_H-M_alt 'P 1'
_space_group_IT_number 1
_cell_length_a 5.174
_cell_length_b 5.174
_cell_length_c 5.174
_cell_angle_alpha 90.00
_cell_angle_beta 90.00
_cell_angle_gamma 90.00
loop_
_space_group_symop_operation_xyz
'x,y,z'
loop_
_atom_site_label
_atom_site_fract_x
_atom_site_fract_y
_atom_site_fract_z
Mg1 0.000 0.000 0.000
In1 0.000 0.500 0.500
In2 0.500 0.000 0.500
In3 0.500 0.500 0.000
Ru1 0.500 0.500 0.500
# energy of formation from the pure elements	0.74	eV/f.u.
# N(E_F)	2.7	states/eV per cell
# size of the total moment	0.00	μB per atom
# energy above the lowest structure with this stoichiometry	0	meV/atom



# PBE MgAg2W, optimized geometry
data_MgAg2W
_chemical_formula_sum 'Mg1 Ag2 W1'
_space_group_name_H-M_alt 'P 1'
_space_group_IT_number 1
_cell_length_a 2.807
_cell_length_b 2.807
_cell_length_c 8.791
_cell_angle_alpha 90.00
_cell_angle_beta 90.00
_cell_angle_gamma 90.00
loop_
_space_group_symop_operation_xyz
'x,y,z'
loop_
_atom_site_label
_atom_site_fract_x
_atom_site_fract_y
_atom_site_fract_z
Mg1 0.000 0.000 0.000
Ag1 0.000 0.000 0.494
Ag2 0.500 0.500 0.749
W1 0.500 0.500 0.246
# energy of formation from the pure elements	1.15	eV/f.u.
# N(E_F)	1.4	states/eV per cell
# size of the total moment	0.00	μB per atom



# PBE Tm2ThSc2, optimized geometry
data_Tm2ThSc2
_chemical_formula_sum 'Tm4 Th2 Sc4'
_space_group_name_H-M_alt 'P 1'
_space_group_IT_number 1
_cell_length_a 8.468
_cell_length_b 8.468
_cell_length_c 6.700
_cell_angle_alpha 90.00
_cell_angle_beta 90.00
_cell_angle_gamma 143.88
loop_
_space_group_symop_operation_xyz
'x,y,z'
loop_
_atom_site_label
_atom_site_fract_x
_atom_site_fract_y
_atom_site_fract_z
Tm1 0.003 0.997 0.500
Tm2 0.201 0.799 0.986
Tm3 0.799 0.201 0.486
Tm4 0.997 0.003 0.000
Th1 0.393 0.607 0.743
Th2 0.607 0.393 0.243
Sc1 0.200 0.800 0.490
Sc2 0.385 0.615 0.240
Sc3 0.615 0.385 0.740
Sc4 0.800 0.200 0.990
# energy of formation from the pure elements	0.25	eV/f.u.
# N(E_F)	12.2	states/eV per cell
# size of the total moment	0.00	μB per atom
# energy above the lowest structure with this stoichiometry	0	meV/atom



# PBE Al2SiCl, optimized geometry
data_Al2SiCl
_chemical_formula_sum 'Al2 Si1 Cl1'
_space_group_name_H-M_alt 'P 1'
_space_group_IT_number 1
_cell_length_a 3.053
_cell_length_b 3.053
_cell_length_c 8.336
_cell_angle_alpha 90.00
_cell_angle_beta 90.00
_cell_angle_gamma 113.34
loop_
_space_group_symop_operation_xyz
'x,y,z'
loop_
_atom_site_label
_atom_site_fract_x
_atom_site_fract_y
_atom_site_fract_z
Al1 0.000 0.000 0.244
Al2 0.000 0.000 0.756
Si1 0.500 0.500 0.000
Cl1 0.500 0.500 0.500
# N(E_F)	0.9	states/eV per cell
# size of the total moment	0.00	μB per atom
# energy above the lowest structure with this stoichiometry	125	meV/atom



# PBE Nb3CSe, optimized geometry
data_Nb3CSe
_chemical_formula_sum 'Nb3 C1 Se1'
_space_group_name_H-M_alt 'P 1'
_space_group_IT_number 1
_cell_length_a 4.325
_cell_length_b 4.325
_cell_length_c 4.325
_cell_angle_alpha 90.00
_cell_angle_beta 90.00
_cell_angle_gamma 90.00
loop_
_space_group_symop_operation_xyz
'x,y,z'
loop_
_atom_site_label
_atom_site_fract_x
_atom_site_fract_y
_atom_site_fract_z
Nb1 0.000 0.000 0.500
Nb2 0.000 0.500 0.000
Nb3 0.500 0.000 0.000
C1 0.000 0.000 0.000
Se1 0.500 0.500 0.500
# N(E_F)	3.4	states/eV per cell
# size of the total moment	0.00	μB per atom
# energy above the lowest structure with this stoichiometry	0	meV/atom



# PBE SmYIr, optimized geometry
data_SmYIr
_chemical_formula_sum 'Sm2 Y2 Ir2'
_space_group_name_H-M_alt 'P 1'
_space_group_IT_number 1
_cell_length_a 6.338
_cell_length_b 6.338
_cell_length_c 8.120
_cell_angle_alpha 121.63
_cell_angle_beta 121.63
_cell_angle_gamma 35.79
loop_
_space_group_symop_operation_xyz
'x,y,z'
loop_
_atom_site_label
_atom_site_fract_x
_atom_site_fract_y
_atom_site_fract_z
Sm1 0.000 0.000 0.000
Sm2 0.590 0.590 0.700
Y1 0.245 0.245 0.538
Y2 0.840 0.840 0.240
Ir1 0.289 0.289 0.931
Ir2 0.549 0.549 0.312
# energy of formation from the pure elements	-1.83	eV/f.u.
# N(E_F)	6.1	states/eV per cell
# size of the total moment	0.00	μB per atom
# energy above the lowest structure with this stoichiometry	9	meV/atom



# PBE Na2ScPaO5, optimized geometry
data_Na2ScPaO5
_chemical_formula_sum 'Na2 Sc1 Pa1 O5'
_space_group_name_H-M_alt 'P 1'
_space_group_IT_number 1
_cell_length_a 4.209
_cell_length_b 4.209
_cell_length_c 8.343
_cell_angle_alpha 90.00
_cell_angle_beta 90.00
_cell_angle_gamma 90.00
loop_
_space_group_symop_operation_xyz
'x,y,z'
loop_
_atom_site_label
_atom_site_fract_x
_atom_site_fract_y
_atom_site_fract_z
Na1 0.000 0.000 0.237
Na2 0.000 0.000 0.763
Sc1 0.500 0.500 0.500
Pa1 0.500 0.500 0.000
O1 0.000 0.000 0.500
O2 0.000 0.500 0.000
O3 0.500 0.000 0.000
O4 0.500 0.500 0.265
O5 0.500 0.500 0.735
# N(E_F)	0.0	states/eV per cell
# size of the total moment	0.01	μB per atom
# total energy	-7.35	eV per atom



Q: Look up the N(E_F) of the tenth one.
A: 3.4 states/eV per cell



Q: Among the records above, which one has the highest N(E_F)?
A: Tm2ThSc2